(1)
# NdLuZnGa, optimized geometry, DFT GGA-PBE
# Uncorrected energy = -61.469 eV per cell
# Fermi-level density of states = 0.761 states/eV/atom
data_NdLuZnGa
_chemical_formula_sum 'Nd4 Lu4 Zn4 Ga4'
_space_group_name_H-M_alt 'F -4 3 m'
_space_group_IT_number 216
_space_group_name_Hall 'F -4 2 3'
_cell_length_a 7.202
_cell_length_b 7.202
_cell_length_c 7.202
_cell_angle_alpha 90.00
_cell_angle_beta 90.00
_cell_angle_gamma 90.00
loop_
_atom_site_label
_atom_site_type_symbol
_atom_site_fract_x
_atom_site_fract_y
_atom_site_fract_z
Nd1 Nd 0.000 0.000 0.000
Lu1 Lu 0.000 0.000 0.500
Zn1 Zn 0.250 0.250 0.750
Ga1 Ga 0.250 0.250 0.250

***

(2)
# Lu2GaNi, optimized geometry, DFT GGA-PBE
# Uncorrected energy = -51.574 eV per cell
# Fermi-level density of states = 0.688 states/eV/atom
data_Lu2GaNi
_chemical_formula_sum 'Lu6 Ga3 Ni3'
_space_group_name_H-M_alt 'R -3 m'
_space_group_IT_number 166
_space_group_name_Hall '-R 3 2"'
_cell_length_a 3.2808
_cell_length_b 3.2808
_cell_length_c 28.4772
_cell_angle_alpha 90.00
_cell_angle_beta 90.00
_cell_angle_gamma 120.00
loop_
_atom_site_label
_atom_site_type_symbol
_atom_site_fract_x
_atom_site_fract_y
_atom_site_fract_z
Lu1 Lu 0.0000 0.0000 0.0873
Ga1 Ga 0.0000 0.0000 0.5000
Ni1 Ni 0.0000 0.0000 0.0000

***

(3)
# Lu2Ga3Ni, optimized geometry, DFT GGA-PBE
# Uncorrected energy = -55.412 eV per cell
# Fermi-level density of states = 0.448 states/eV/atom
data_Lu2Ga3Ni
_chemical_formula_sum 'Lu4 Ga6 Ni2'
_space_group_name_H-M_alt 'C 1 m 1'
_space_group_IT_number 8
_cell_length_a 10.021
_cell_length_b 4.307
_cell_length_c 6.919
_cell_angle_alpha 90.00
_cell_angle_beta 132.15
_cell_angle_gamma 90.00
loop_
_space_group_symop_operation_xyz
'x,y,z'
'x,-y,z'
'x+1/2,y+1/2,z'
'x+1/2,-y+1/2,z'
loop_
_atom_site_label
_atom_site_type_symbol
_atom_site_fract_x
_atom_site_fract_y
_atom_site_fract_z
Lu1 Lu 0.000 0.000 0.000
Lu2 Lu 0.088 0.000 0.589
Ga1 Ga 0.213 0.500 0.390
Ga2 Ga 0.373 0.000 0.174
Ga3 Ga 0.401 0.000 0.620
Ni1 Ni 0.219 0.500 0.016

***

(4)
# Lu2GaNi, optimized geometry, DFT GGA-PBE
# Uncorrected energy = -20.001 eV per cell
# Fermi-level density of states = 0.701 states/eV/atom
data_Lu2GaNi
_chemical_formula_sum 'Lu2 Ga1 Ni1'
_space_group_name_H-M_alt 'P 4/m m m'
_space_group_IT_number 123
_space_group_name_Hall '-P 4 2'
_cell_length_a 3.371
_cell_length_b 3.371
_cell_length_c 6.965
_cell_angle_alpha 90.00
_cell_angle_beta 90.00
_cell_angle_gamma 90.00
loop_
_atom_site_label
_atom_site_type_symbol
_atom_site_fract_x
_atom_site_fract_y
_atom_site_fract_z
Lu1 Lu 0.000 0.000 0.229
Ga1 Ga 0.500 0.500 0.500
Ni1 Ni 0.500 0.500 0.000

***

(5)
# LuGa2Ni3, optimized geometry, DFT GGA-PBE
# Uncorrected energy = -93.849 eV per cell
# Fermi-level density of states = 0.690 states/eV/atom
data_LuGa2Ni3
_chemical_formula_sum 'Lu3 Ga6 Ni9'
_space_group_name_H-M_alt 'P -6 2 m'
_space_group_IT_number 189
_space_group_name_Hall 'P -6 -2'
_cell_length_a 8.6978
_cell_length_b 8.6978
_cell_length_c 4.0730
_cell_angle_alpha 90.00
_cell_angle_beta 90.00
_cell_angle_gamma 120.00
loop_
_atom_site_label
_atom_site_type_symbol
_atom_site_fract_x
_atom_site_fract_y
_atom_site_fract_z
Lu1 Lu 0.0000 0.0000 0.0000
Lu2 Lu 0.3333 0.6667 0.5000
Ga1 Ga 0.0000 0.2700 0.5000
Ga2 Ga 0.0000 0.5187 0.0000
Ni1 Ni 0.0000 0.7049 0.5000
Ni2 Ni 0.1743 0.3738 0.0000

***

(6)
# Lu2Ga5Ni12, optimized geometry, DFT GGA-PBE
# Uncorrected energy = -200.194 eV per cell
# Fermi-level density of states = 0.780 states/eV/atom
data_Lu2Ga5Ni12
_chemical_formula_sum 'Lu4 Ga10 Ni24'
_space_group_name_H-M_alt 'P 63/m m c'
_space_group_IT_number 194
_space_group_name_Hall '-P 6c 2c'
_cell_length_a 8.4140
_cell_length_b 8.4140
_cell_length_c 8.2887
_cell_angle_alpha 90.00
_cell_angle_beta 90.00
_cell_angle_gamma 120.00
loop_
_atom_site_label
_atom_site_type_symbol
_atom_site_fract_x
_atom_site_fract_y
_atom_site_fract_z
Lu1 Lu 0.0000 0.0000 0.2500
Lu2 Lu 0.3333 0.6667 0.2500
Ga1 Ga 0.0000 0.5000 0.0000
Ga2 Ga 0.3333 0.6667 0.6057
Ni1 Ni 0.0275 0.3526 0.7500
Ni2 Ni 0.1666 0.3333 0.0160

***

(7)
# Lu4Ga12Ni, optimized geometry, DFT GGA-PBE
# Uncorrected energy = -138.169 eV per cell
# Fermi-level density of states = 0.145 states/eV/atom
data_Lu4Ga12Ni
_chemical_formula_sum 'Lu8 Ga24 Ni2'
_space_group_name_H-M_alt 'I m -3 m'
_space_group_IT_number 229
_space_group_name_Hall '-I 4 2 3'
_cell_length_a 8.489
_cell_length_b 8.489
_cell_length_c 8.489
_cell_angle_alpha 90.00
_cell_angle_beta 90.00
_cell_angle_gamma 90.00
loop_
_atom_site_label
_atom_site_type_symbol
_atom_site_fract_x
_atom_site_fract_y
_atom_site_fract_z
Lu1 Lu 0.250 0.250 0.250
Ga1 Ga 0.000 0.000 0.287
Ga2 Ga 0.000 0.250 0.500
Ni1 Ni 0.000 0.000 0.000

***

(8)
# LuGaNiPd, optimized geometry, DFT GGA-PBE
# Uncorrected energy = -84.470 eV per cell
# Fermi-level density of states = 0.753 states/eV/atom
data_LuGaNiPd
_chemical_formula_sum 'Lu4 Ga4 Ni4 Pd4'
_space_group_name_H-M_alt 'F -4 3 m'
_space_group_IT_number 216
_space_group_name_Hall 'F -4 2 3'
_cell_length_a 6.389
_cell_length_b 6.389
_cell_length_c 6.389
_cell_angle_alpha 90.00
_cell_angle_beta 90.00
_cell_angle_gamma 90.00
loop_
_atom_site_label
_atom_site_type_symbol
_atom_site_fract_x
_atom_site_fract_y
_atom_site_fract_z
Lu1 Lu 0.000 0.000 0.000
Ga1 Ga 0.000 0.000 0.500
Ni1 Ni 0.250 0.250 0.750
Pd1 Pd 0.250 0.250 0.250

***

Question: Among the records above, which one has the lowest Fermi-level density of states?
Answer: Lu4Ga12Ni

***

Question: Which value of uncorrected energy does entry 6 give?
Answer: -200.194 eV per cell

***

Repeat the eighth record exactly.
# LuGaNiPd, optimized geometry, DFT GGA-PBE
# Uncorrected energy = -84.470 eV per cell
# Fermi-level density of states = 0.753 states/eV/atom
data_LuGaNiPd
_chemical_formula_sum 'Lu4 Ga4 Ni4 Pd4'
_space_group_name_H-M_alt 'F -4 3 m'
_space_group_IT_number 216
_space_group_name_Hall 'F -4 2 3'
_cell_length_a 6.389
_cell_length_b 6.389
_cell_length_c 6.389
_cell_angle_alpha 90.00
_cell_angle_beta 90.00
_cell_angle_gamma 90.00
loop_
_atom_site_label
_atom_site_type_symbol
_atom_site_fract_x
_atom_site_fract_y
_atom_site_fract_z
Lu1 Lu 0.000 0.000 0.000
Ga1 Ga 0.000 0.000 0.500
Ni1 Ni 0.250 0.250 0.750
Pd1 Pd 0.250 0.250 0.250

***

Repeat the first record exactly.
# NdLuZnGa, optimized geometry, DFT GGA-PBE
# Uncorrected energy = -61.469 eV per cell
# Fermi-level density of states = 0.761 states/eV/atom
data_NdLuZnGa
_chemical_formula_sum 'Nd4 Lu4 Zn4 Ga4'
_space_group_name_H-M_alt 'F -4 3 m'
_space_group_IT_number 216
_space_group_name_Hall 'F -4 2 3'
_cell_length_a 7.202
_cell_length_b 7.202
_cell_length_c 7.202
_cell_angle_alpha 90.00
_cell_angle_beta 90.00
_cell_angle_gamma 90.00
loop_
_atom_site_label
_atom_site_type_symbol
_atom_site_fract_x
_atom_site_fract_y
_atom_site_fract_z
Nd1 Nd 0.000 0.000 0.000
Lu1 Lu 0.000 0.000 0.500
Zn1 Zn 0.250 0.250 0.750
Ga1 Ga 0.250 0.250 0.250